4
Lattice="-0.820 -2.369 -1.064 3.022 0.039 -2.419 2.984 -2.688 3.685" Properties=species:S:1:pos:R:3 comment="Mo2IrRh meta-GGA SCAN single point on PBEsol structure" sg="Pmmm (47)" formation_enthalpy_0k_kj_per_mol_atoms=-29.33 pbc="T T T"
Rh 1.101 -1.165 -1.741
Mo 0.749 -0.674 0.925
Mo 2.236 -2.013 2.761
Ir 2.593 -2.509 0.101

5
Lattice="-1.242 0.956 3.561 -4.624 0.472 -1.740 -0.860 -4.788 0.985" Properties=species:S:1:pos:R:3 comment="TlP2OsO meta-GGA SCAN single point on PBEsol structure" sg="P4/mmm (123)" e_tot_ev_per_atom=-32.36 pbc="T T T"
O -0.621 0.478 1.781
P -2.312 0.236 -0.870
P -0.430 -2.394 0.493
Os -3.363 -1.680 1.403
Tl 0.000 0.000 0.000

5
Lattice="-0.809 -0.457 -4.156 -5.347 -1.648 1.221 -1.740 5.451 -0.260" Properties=species:S:1:pos:R:3 comment="TiPtSI2 meta-GGA SCAN single point on PBEsol structure" sg="P4/mmm (123)" e_tot_ev_per_atom=-33.28 pbc="T T T"
I -0.870 2.725 -0.130
I -2.674 -0.824 0.611
Pt -0.404 -0.228 -2.078
S 0.000 0.000 0.000
Ti -3.948 1.673 -1.598

5
Lattice="3.682 0.000 0.000 0.000 3.682 0.000 0.000 0.000 4.554" Properties=species:S:1:pos:R:3 comment="CoCuB2Au meta-GGA SCAN single point on PBEsol structure" sg="P4/mmm (123)" formation_enthalpy_0k_kj_per_mol_atoms=86.10 pbc="T T T"
B 1.841 0.000 0.000
B 0.000 1.841 0.000
Cu 0.000 0.000 2.277
Co 0.000 0.000 0.000
Au 1.841 1.841 2.277

5
Lattice="-2.897 -0.783 3.115 -2.776 -1.502 -2.959 5.285 -4.885 0.684" Properties=species:S:1:pos:R:3 comment="CaMg3Zn meta-GGA SCAN single point on PBEsol structure" sg="I4mm (107)" formation_enthalpy_0k_kj_per_mol_atoms=-8.60 pbc="T T T"
Mg -0.888 -1.982 -1.324
Mg -0.948 -1.623 1.713
Mg -1.534 -4.349 0.484
Ca 1.881 -4.631 0.586
Zn -0.543 -6.789 0.792

5
Lattice="-3.018 2.697 1.662 -1.358 -3.357 2.982 3.113 1.541 3.153" Properties=species:S:1:pos:R:3 comment="Zr2AlNiS meta-GGA SCAN single point on PBEsol structure" sg="P4/mmm (123)" e_tot_ev_per_atom=-18.99 pbc="T T T"
S 0.000 0.000 0.000
Ni -0.632 0.441 3.898
Zr 1.557 0.770 1.576
Zr -0.679 -1.678 1.491
Al -1.509 1.349 0.831

5
Lattice="4.474 0.000 0.000 0.000 4.474 0.000 0.000 0.000 4.474" Properties=species:S:1:pos:R:3 comment="FeMoPt3 meta-GGA SCAN single point on PBEsol structure" sg="Pm-3m (221)" formation_enthalpy_0k_kj_per_mol_atoms=100.74 pbc="T T T"
Pt 0.000 2.237 0.000
Pt 2.237 0.000 0.000
Pt 0.000 0.000 2.237
Mo 2.237 2.237 2.237
Fe 0.000 0.000 0.000

6
Lattice="6.520 0.000 0.000 0.000 7.087 0.000 0.000 -3.544 6.138" Properties=species:S:1:pos:R:3 comment="Sr5Cl meta-GGA SCAN single point on PBEsol structure" sg="P-62m (189)" e_tot_ev_per_atom=-20.14 pbc="T T T"
Sr 0.000 -2.415 4.183
Sr 0.000 1.128 1.955
Sr 0.000 4.830 0.000
Sr 3.260 0.000 4.092
Sr 3.260 3.544 2.046
Cl 3.260 0.000 0.000